Material: PbC
Method: DFT, PBE
State: optimized geometry

CIF file:
```
data_PbC
_cell_length_a 3.7753
_cell_length_b 3.7753
_cell_length_c 6.1858
_cell_angle_alpha 90.00
_cell_angle_beta 90.00
_cell_angle_gamma 120.00
_symmetry_space_group_name_H-M 'P 1'
_symmetry_Int_Tables_number 1
_symmetry_space_group_name_Hall 'P 1'
loop_
_atom_site_label
_atom_site_fract_x
_atom_site_fract_y
_atom_site_fract_z
_atom_site_occupancy
Pb1 0.3333 0.6667 0.0000 1
Pb2 0.6667 0.3333 0.5000 1
C1 0.3333 0.6667 0.6244 1
C2 0.6667 0.3333 0.1244 1
```

Results
Crystal system   hexagonal
Space group   No. 186
Calculated formation energy   1.48 eV per atom
Excess energy over the best structure of this formula in the dataset   631.4 meV per atom